A relaxed AcLa2Pb crystal. Source: Alexandria, functional PBE.

Values from the calculation:
The formation energy is -0.34 eV/atom. The calculation puts the relative energy among the computed polymorphs at 0 meV per atom. Its energy is -19.015 eV per cell.

a b c (Å): 5.1718 5.1718 5.1698
angles (deg): 90.00 90.00 90.00
Fractional coordinates of all 4 atoms:
Ac1 0.0000 0.0000 0.0000
La1 0.0000 0.5000 0.5000
La2 0.5000 0.0000 0.5000
Pb1 0.5000 0.5000 0.0000

A relaxed AcLa2Pb crystal. Source: Alexandria, functional PBE.

Values from the calculation:
The formation energy is -0.29 eV/atom. The calculation puts the relative energy among the computed polymorphs at 43 meV per atom. Its energy is -75.373 eV per cell.

a b c (Å): 4.9710 4.8854 23.8253
angles (deg): 90.00 90.00 90.00
Fractional coordinates of all 16 atoms:
Ac1 0.0000 0.0000 0.0000
Ac2 0.0000 0.5000 0.5000
Ac3 0.5000 0.0000 0.3908
Ac4 0.5000 0.5000 0.8908
La1 0.0000 0.0000 0.2550
La2 0.0000 0.0000 0.6373
La3 0.0000 0.5000 0.1373
La4 0.0000 0.5000 0.7550
La5 0.5000 0.0000 0.5442
La6 0.5000 0.0000 0.7532
La7 0.5000 0.5000 0.0442
La8 0.5000 0.5000 0.2532
Pb1 0.0000 0.0000 0.8548
Pb2 0.0000 0.5000 0.3548
Pb3 0.5000 0.0000 0.1449
Pb4 0.5000 0.5000 0.6449

A relaxed Ac5LaPb3 crystal. Source: Alexandria, functional PBE.

Values from the calculation:
The formation energy is -0.36 eV/atom. Its energy is -79.603 eV per cell.

a b c (Å): 10.3489 10.3489 7.2672
angles (deg): 90.00 90.00 120.00
Fractional coordinates of all 18 atoms:
Ac1 0.0000 0.3301 0.2500
Ac2 0.0000 0.6699 0.7500
Ac3 0.3301 0.0000 0.2500
Ac4 0.3301 0.3301 0.7500
Ac5 0.3333 0.6667 0.0000
Ac6 0.3333 0.6667 0.5000
Ac7 0.6667 0.3333 0.0000
Ac8 0.6667 0.3333 0.5000
Ac9 0.6699 0.0000 0.7500
Ac10 0.6699 0.6699 0.2500
La1 0.0000 0.0000 0.0000
La2 0.0000 0.0000 0.5000
Pb1 0.0000 0.3324 0.7500
Pb2 0.0000 0.6676 0.2500
Pb3 0.3324 0.0000 0.7500
Pb4 0.3324 0.3324 0.2500
Pb5 0.6676 0.0000 0.2500
Pb6 0.6676 0.6676 0.7500

A relaxed Ac5La5Pb6 crystal. Source: Alexandria, functional PBE.

Values from the calculation:
The formation energy is -0.54 eV/atom. Its energy is -76.004 eV per cell.

a b c (Å): 7.1324 9.8081 9.8081
angles (deg): 119.75 90.00 90.00
Fractional coordinates of all 16 atoms:
Ac1 0.0000 0.0000 0.0000
Ac2 0.0000 0.5123 0.7543
Ac3 0.0000 0.7543 0.5123
Ac4 0.5000 0.7556 0.9984
Ac5 0.5000 0.9984 0.7556
La1 0.2513 0.0881 0.4217
La2 0.2513 0.4217 0.0881
La3 0.5000 0.5080 0.5080
La4 0.7487 0.0881 0.4217
La5 0.7487 0.4217 0.0881
Pb1 0.0000 0.1538 0.7546
Pb2 0.0000 0.3573 0.3573
Pb3 0.0000 0.7546 0.1538
Pb4 0.5000 0.1571 0.1571
Pb5 0.5000 0.3595 0.7502
Pb6 0.5000 0.7502 0.3595

A relaxed Ac2La2Pb3 crystal. Source: Alexandria, functional PBE.

Values from the calculation:
The formation energy is -0.33 eV/atom. Its energy is -63.030 eV per cell.

a b c (Å): 15.7812 4.8435 8.6405
angles (deg): 90.00 104.91 90.00
Fractional coordinates of all 14 atoms:
Ac1 0.1267 0.0000 0.3933
Ac2 0.3733 0.5000 0.6067
Ac3 0.6267 0.5000 0.3933
Ac4 0.8733 0.0000 0.6067
La1 0.1483 0.5000 0.8429
La2 0.3517 0.0000 0.1571
La3 0.6483 0.0000 0.8429
La4 0.8517 0.5000 0.1571
Pb1 0.0000 0.5000 0.5000
Pb2 0.2292 0.5000 0.2284
Pb3 0.2708 0.0000 0.7716
Pb4 0.5000 0.0000 0.5000
Pb5 0.7292 0.0000 0.2284
Pb6 0.7708 0.5000 0.7716

A relaxed AcLa2Pb2 crystal. Source: Alexandria, functional PBE.

Values from the calculation:
The formation energy is -0.53 eV/atom. Its energy is -48.035 eV per cell.

a b c (Å): 8.9173 8.9173 4.5034
angles (deg): 90.00 90.00 90.00
Fractional coordinates of all 10 atoms:
Ac1 0.0000 0.0000 0.0000
Ac2 0.5000 0.5000 0.0000
La1 0.1605 0.3395 0.5000
La2 0.3395 0.8395 0.5000
La3 0.6605 0.1605 0.5000
La4 0.8395 0.6605 0.5000
Pb1 0.1383 0.6383 0.0000
Pb2 0.3617 0.1383 0.0000
Pb3 0.6383 0.8617 0.0000
Pb4 0.8617 0.3617 0.0000